A geometry-optimized Ba2NbCrRe structure. Source: Alexandria via LeMat-Bulk, functional GGA-PBE.

a b c (Å): 6.0621 6.0621 4.5811
angles (deg): 90.00 90.00 90.00
Closest atoms and distances in Å follow each position.
Atoms (fractional coordinates):
Ba (0.0000, 0.5000, 0.0000)  2 Cr 3.03
Ba (0.5000, 0.0000, 0.0000)  2 Cr 3.03
Nb (0.0000, 0.0000, 0.5000)  2 Cr 2.29
Cr (0.0000, 0.0000, 0.0000)  2 Nb 2.29
Re (0.5000, 0.5000, 0.5000)  8 Ba 3.80

Properties
The value obtained for the calculated formation energy is 1.79 eV/atom. The space-group type is P4/mmm, No. 123.



A geometry-optimized ZrBeHgIr2 structure. Source: Alexandria via LeMat-Bulk, functional GGA-PBE.

a b c (Å): 4.9036 4.9036 4.6175
angles (deg): 90.00 90.00 90.00
Closest atoms and distances in Å follow each position.
Atoms (fractional coordinates):
Zr (0.0000, 0.0000, 0.0000)  2 Be 2.31, 4 Ir 2.45
Be (0.0000, 0.0000, 0.5000)  2 Zr 2.31
Hg (0.5000, 0.5000, 0.5000)  8 Ir 3.37, 4 Be 3.47
Ir (0.0000, 0.5000, 0.0000)  2 Zr 2.45
Ir (0.5000, 0.0000, 0.0000)  2 Zr 2.45

Properties
The value obtained for the calculated formation energy is 1.43 eV/atom. The space-group type is P4/mmm, No. 123.



A geometry-optimized SbAs2Pb2 structure. Source: Alexandria via LeMat-Bulk, functional GGA-PBE.

a b c (Å): 3.8931 3.8931 18.2044
angles (deg): 90.00 90.00 90.00
Closest atoms and distances in Å follow each position.
Atoms (fractional coordinates):
Sb (0.0000, 0.0000, 0.0000)  8 Pb 3.36
Sb (0.5000, 0.5000, 0.5000)  8 Pb 3.36
As (0.0000, 0.5000, 0.2500)  4 As 2.75
As (0.0000, 0.5000, 0.7500)  4 As 2.75
As (0.5000, 0.0000, 0.2500)  4 As 2.75
As (0.5000, 0.0000, 0.7500)  4 As 2.75
Pb (0.0000, 0.0000, 0.3940)  4 As 3.27, 4 Sb 3.36
Pb (0.0000, 0.0000, 0.6060)  4 As 3.27, 4 Sb 3.36
Pb (0.5000, 0.5000, 0.1060)  4 As 3.27, 4 Sb 3.36
Pb (0.5000, 0.5000, 0.8940)  4 As 3.27, 4 Sb 3.36

Properties
The calculation puts the formation energy (no corrections) at 0.099 eV per atom. The calculation puts the polymorph energy (0 for the lowest one) at 0 meV/atom. The space-group type is I4/mmm, No. 139.